[1]
A geometry-optimized BaHgGe structure, computed with PBE-GGA.

```
BaHgGe
1.0
4.1328 -0.0010 -0.0042
-0.0010 4.9693 -0.0035
2.0550 2.4743 9.5613
Ba Hg Ge
2 2 2
Direct
0.7128 0.0784 0.2365
0.9315 0.2988 0.7951
0.3239 0.6861 0.0116
0.5014 0.8708 0.6514
0.5752 0.4409 0.5103
0.1518 0.5198 0.3565
```

Results
DFT formation energy, eV/atom: -0.38

---

[2]
A geometry-optimized Er2NiB10 structure, computed with PBE-GGA.

```
Er2NiB10
1.0
-2.1915 -0.4205 3.4780
-1.9672 -4.8385 -1.8245
8.5048 -5.2396 4.7254
B Er Ni
20 4 2
Direct
0.6985 0.7014 0.3857
0.3015 0.7014 0.3857
0.0000 0.6590 0.8015
0.0000 0.6259 0.9592
0.3015 0.2986 0.6143
0.3015 0.7986 0.8857
0.0000 0.4708 0.6867
0.0000 0.8410 0.3015
0.6985 0.7986 0.8857
0.6985 0.2986 0.6143
0.0000 0.5292 0.3133
0.0000 0.3741 0.0408
0.0000 0.1590 0.6985
0.0000 0.8741 0.4592
0.0000 0.9708 0.8133
0.0000 0.0292 0.1867
0.3015 0.2014 0.1143
0.0000 0.1259 0.5408
0.6985 0.2014 0.1143
0.0000 0.3410 0.1985
0.5000 0.1858 0.3627
0.5000 0.3142 0.8627
0.5000 0.8142 0.6373
0.5000 0.6858 0.1373
0.0000 0.5000 0.5000
0.0000 0.0000 0.0000
```

Results
DFT formation energy, eV/atom: -0.49

---

[3]
A geometry-optimized TbEr5Sc5 structure, computed with PBE-GGA.

```
TbEr5Sc5
1.0
-3.7475 1.0757 4.2400
2.9390 -4.9535 -0.0583
8.1687 4.7759 6.0082
Er Sc Tb
5 5 1
Direct
0.0000 0.0000 0.0000
0.3333 0.6667 0.6798
0.6667 0.3333 0.1609
0.6667 0.3333 0.8391
0.3333 0.6667 0.3202
0.0000 0.0000 0.7314
0.8351 0.6703 0.5000
0.3297 0.1649 0.5000
0.8351 0.1649 0.5000
0.0000 0.0000 0.2686
0.3333 0.6667 0.0000
```

Results
DFT formation energy, eV/atom: 0.25

---

[4]
A geometry-optimized Os3WBr structure, computed with PBE-GGA.

```
Os3WBr
1.0
-0.1414 -3.4026 -3.4296
4.5737 -1.1993 1.0013
-1.5559 -3.2162 3.2550
Br Os W
1 3 1
Direct
0.5000 0.5000 0.5000
0.0000 0.5000 0.0000
0.5000 0.0000 0.0000
0.0000 0.0000 0.5000
0.0000 0.0000 0.0000
```

Results
Energy above the most stable polymorph in this dataset, meV per atom: 0.0

---

[5]
A geometry-optimized Ba2LiHfB structure, computed with PBE-GGA.

```
Ba2LiHfB
1.0
6.1822 0.0000 0.0000
0.0000 5.1166 0.0000
0.0000 0.0000 6.1822
Li Hf Ba B
1 1 2 1
Direct
0.0000 0.5000 0.0000
0.0000 0.0000 0.0000
0.0000 0.0000 0.5000
0.5000 0.0000 0.0000
0.5000 0.5000 0.5000
```

Results
DFT formation energy, eV/atom: 1.71

---

[6]
A geometry-optimized Cr3As structure, computed with PBE-GGA.

```
Cr3As
1.0
4.5798 0.0000 0.0000
0.0000 4.5798 0.0000
0.0000 0.0000 4.5798
Cr As
6 2
Direct
0.7500 0.0000 0.5000
0.0000 0.5000 0.2500
0.2500 0.0000 0.5000
0.0000 0.5000 0.7500
0.5000 0.7500 0.0000
0.5000 0.2500 0.0000
0.5000 0.5000 0.5000
0.0000 0.0000 0.0000
```

Results
DFT formation energy, eV/atom: -0.09

---

[7]
A geometry-optimized Li3LaBe structure, computed with PBE-GGA.

```
Li3LaBe
1.0
5.6071 0.0000 0.0000
0.0000 5.6071 0.0000
0.0000 0.0000 5.6071
Li Be La
3 1 1
Direct
0.0000 0.5000 0.0000
0.5000 0.0000 0.0000
0.0000 0.0000 0.5000
0.5000 0.5000 0.5000
0.0000 0.0000 0.0000
```

Results
DFT formation energy, eV/atom: 1.59
Energy above the most stable polymorph in this dataset, meV per atom: 1259.4

---

[8]
A geometry-optimized PmPrNdSm3 structure, computed with PBE-GGA.

```
PmPrNdSm3
1.0
-3.8547 3.1866 -2.8938
-4.4291 -1.9611 9.5091
2.9182 5.8461 2.5505
Pm Sm Pr Nd
2 6 2 2
Direct
0.3532 0.7064 0.5322
0.6468 0.2936 0.4678
0.4794 0.9589 0.2520
0.1629 0.3259 0.7461
0.5206 0.0411 0.7480
0.2201 0.4402 0.2500
0.7799 0.5598 0.7500
0.8371 0.6741 0.2539
0.6464 0.2928 0.0300
0.3536 0.7072 0.9700
0.9440 0.8880 0.7466
0.0560 0.1120 0.2534
```

Results
DFT formation energy, eV/atom: 0.16

---

[9]
A geometry-optimized DyYPb2 structure, computed with PBE-GGA.

```
DyYPb2
1.0
4.4186 0.0000 0.0000
0.0000 5.0645 0.0000
0.0000 0.0000 5.0645
Pb Dy Y
2 1 1
Direct
0.0000 0.5000 0.0000
0.0000 0.0000 0.5000
0.5000 0.5000 0.5000
0.5000 0.0000 0.0000
```

Results
DFT formation energy, eV/atom: -0.44

---

[10]
A geometry-optimized PrSiGe structure, computed with PBE-GGA.

```
PrSiGe
1.0
-3.5956 2.2678 -0.5435
-0.4449 -1.6475 -3.9312
-0.1862 -3.4347 3.7965
Si Pr Ge
1 1 1
Direct
0.9780 0.9780 0.9559
0.6153 0.6153 0.2306
0.2567 0.2567 0.5134
```

Results
Energy above the most stable polymorph in this dataset, meV per atom: 310.4

---

[11]
A geometry-optimized Ti6FePd2 structure, computed with PBE-GGA.

```
Ti6FePd2
1.0
4.3098 0.0000 -0.1668
0.0000 6.0168 0.0000
-1.9085 -3.0084 6.3324
Ti Pd Fe
6 2 1
Direct
0.1564 0.3971 0.3128
0.5000 0.7684 0.0000
0.5000 0.2316 0.0000
0.1564 0.9157 0.3128
0.8436 0.6029 0.6872
0.8436 0.0843 0.6872
0.6674 0.6675 0.3350
0.3326 0.3325 0.6650
0.0000 0.0000 0.0000
```

Results
DFT formation energy, eV/atom: -0.01

---

[12]
A geometry-optimized TiMoS2N structure, computed with PBE-GGA.

```
TiMoS2N
1.0
4.7953 0.0000 0.0000
0.0000 4.7953 0.0000
0.0000 0.0000 3.7611
S Ti Mo N
2 1 1 1
Direct
0.5000 0.0000 0.0000
0.0000 0.5000 0.0000
0.5000 0.5000 0.5000
0.0000 0.0000 0.0000
0.0000 0.0000 0.5000
```

Results
Energy above the most stable polymorph in this dataset, meV per atom: 0.0

---

Number 1: theoretical density 6.94 Mg/m³, uncorrected energy -2.656 eV/atom. Number 2: theoretical density 6.59 Mg/m³, uncorrected energy -6.775 eV/atom. Number 3: theoretical density 6.29 Mg/m³, uncorrected energy -5.127 eV/atom. Number 4: theoretical density 12.27 Mg/m³, uncorrected energy -7.143 eV/atom. Number 5: theoretical density 4.00 Mg/m³, uncorrected energy -2.767 eV/atom. Number 6: theoretical density 7.98 Mg/m³, uncorrected energy -8.471 eV/atom. Number 7: theoretical density 1.59 Mg/m³, uncorrected energy -1.294 eV/atom. Number 8: theoretical density 7.03 Mg/m³, uncorrected energy -4.579 eV/atom. Number 9: theoretical density 9.76 Mg/m³, uncorrected energy -5.059 eV/atom. Number 10: theoretical density 5.29 Mg/m³, uncorrected energy -5.235 eV/atom. Number 11: theoretical density 5.69 Mg/m³, uncorrected energy -7.364 eV/atom. Number 12: theoretical density 4.26 Mg/m³, uncorrected energy -6.971 eV/atom.